# 1
An optimized crystal structure of Y4InCuN2. Source: OQMD, functional PBE.

The symmetry is P-6m2. The calculation puts the total DFT energy (no corrections) at -7.034 eV/atom. The calculation puts the volume at 20.04 A^3/atom.

abc: 3.518 3.518 14.959
angles: 90.00 90.00 120.00
Atoms (fractional coordinates):
Y1 0.000 0.000 0.140
Y2 0.000 0.000 0.860
Y3 0.333 0.667 0.322
Y4 0.333 0.667 0.678
In1 0.000 0.000 0.500
Cu1 0.333 0.667 0.000
N1 0.667 0.333 0.239
N2 0.667 0.333 0.761



# 2
An optimized crystal structure of Na2Sc2In2CuPd. Source: OQMD, functional PBE.

The symmetry is P-4m2. The calculation puts the total DFT energy (no corrections) at -3.921 eV/atom. The calculation puts the volume at 19.15 A^3/atom.

abc: 4.759 4.759 6.765
angles: 90.00 90.00 90.00
Atoms (fractional coordinates):
Na1 0.000 0.000 0.000
Na2 0.500 0.500 0.500
Sc1 0.000 0.500 0.749
Sc2 0.500 0.000 0.251
In1 0.000 0.500 0.244
In2 0.500 0.000 0.756
Cu1 0.500 0.500 0.000
Pd1 0.000 0.000 0.500



# 3
An optimized crystal structure of Na2Sc2In2CuPt. Source: OQMD, functional PBE.

The symmetry is P-4m2. The calculation puts the total DFT energy (no corrections) at -4.110 eV/atom. The calculation puts the volume at 18.99 A^3/atom.

abc: 4.748 4.748 6.742
angles: 90.00 90.00 90.00
Atoms (fractional coordinates):
Na1 0.000 0.000 0.000
Na2 0.500 0.500 0.500
Sc1 0.000 0.500 0.743
Sc2 0.500 0.000 0.257
In1 0.000 0.500 0.244
In2 0.500 0.000 0.756
Cu1 0.500 0.500 0.000
Pt1 0.000 0.000 0.500



# 4
An optimized crystal structure of NaZr2In2CuPt2. Source: OQMD, functional PBE.

The symmetry is P-4m2. The calculation puts the total DFT energy (no corrections) at -5.475 eV/atom. The calculation puts the volume at 18.25 A^3/atom.

abc: 4.683 4.683 6.658
angles: 90.00 90.00 90.00
Atoms (fractional coordinates):
Na1 0.000 0.000 0.000
Zr1 0.000 0.500 0.262
Zr2 0.500 0.000 0.738
In1 0.000 0.500 0.744
In2 0.500 0.000 0.256
Cu1 0.500 0.500 0.500
Pt1 0.000 0.000 0.500
Pt2 0.500 0.500 0.000



# 5
An optimized crystal structure of NaIn2CuS4. Source: OQMD, functional PBE.

The symmetry is I-4. The calculation puts the total DFT energy (no corrections) at -4.029 eV/atom. The calculation puts the volume at 24.22 A^3/atom.

abc: 7.044 7.044 7.044
angles: 131.16 131.16 71.55
Atoms (fractional coordinates):
Na1 0.000 0.000 0.000
In1 0.250 0.750 0.500
In2 0.500 0.500 0.000
Cu1 0.750 0.250 0.500
S1 0.114 0.139 0.527
S2 0.413 0.886 0.025
S3 0.612 0.587 0.473
S4 0.861 0.388 0.975



# 6
An optimized crystal structure of NaSrIn4Cu2. Source: OQMD, functional PBE.

The symmetry is Amm2. The calculation puts the total DFT energy (no corrections) at -2.865 eV/atom. The calculation puts the volume at 23.18 A^3/atom.

abc: 7.642 5.847 5.847
angles: 45.21 90.00 90.00
Atoms (fractional coordinates):
Na1 0.000 0.000 0.000
Sr1 0.500 0.870 0.870
In1 0.192 0.284 0.284
In2 0.295 0.579 0.579
In3 0.705 0.579 0.579
In4 0.808 0.284 0.284
Cu1 0.000 0.720 0.720
Cu2 0.500 0.154 0.154



# 7
An optimized crystal structure of NbInCu. Source: OQMD, functional PBE.

The symmetry is F-43m. The calculation puts the total DFT energy (no corrections) at -4.744 eV/atom. The calculation puts the volume at 21.14 A^3/atom.

abc: 4.476 4.476 4.476
angles: 60.00 60.00 60.00
Atoms (fractional coordinates):
Nb1 0.000 0.000 0.000
In1 0.750 0.750 0.750
Cu1 0.250 0.250 0.250



# 8
An optimized crystal structure of NbInCu. Source: OQMD, functional PBE.

The symmetry is F-43m. The calculation puts the total DFT energy (no corrections) at -4.738 eV/atom. The calculation puts the volume at 20.47 A^3/atom.

abc: 4.428 4.428 4.428
angles: 60.00 60.00 60.00
Atoms (fractional coordinates):
Nb1 0.000 0.000 0.000
In1 0.750 0.750 0.750
Cu1 0.500 0.500 0.500



# 9
An optimized crystal structure of NbInCu2. Source: OQMD, functional PBE.

The symmetry is F-43m. The calculation puts the total DFT energy (no corrections) at -4.779 eV/atom. The calculation puts the volume at 16.08 A^3/atom.

abc: 4.498 4.498 4.498
angles: 60.00 60.00 60.00
Atoms (fractional coordinates):
Nb1 0.000 0.000 0.000
In1 0.750 0.750 0.750
Cu1 0.250 0.250 0.250
Cu2 0.500 0.500 0.500



# 10
An optimized crystal structure of NbInCuOs. Source: OQMD, functional PBE.

The symmetry is F-43m. The calculation puts the total DFT energy (no corrections) at -6.852 eV/atom. The calculation puts the volume at 16.29 A^3/atom.

abc: 4.517 4.517 4.517
angles: 60.00 60.00 60.00
Atoms (fractional coordinates):
Nb1 0.000 0.000 0.000
In1 0.500 0.500 0.500
Cu1 0.750 0.750 0.750
Os1 0.250 0.250 0.250



# 11
An optimized crystal structure of NbInCuPt. Source: OQMD, functional PBE.

The symmetry is F-43m. The calculation puts the total DFT energy (no corrections) at -5.850 eV/atom. The calculation puts the volume at 16.74 A^3/atom.

abc: 4.558 4.558 4.558
angles: 60.00 60.00 60.00
Atoms (fractional coordinates):
Nb1 0.000 0.000 0.000
In1 0.500 0.500 0.500
Cu1 0.750 0.750 0.750
Pt1 0.250 0.250 0.250



# 12
An optimized crystal structure of NbInCuPt. Source: OQMD, functional PBE.

The symmetry is F-43m. The calculation puts the total DFT energy (no corrections) at -5.742 eV/atom. The calculation puts the volume at 16.80 A^3/atom.

abc: 4.563 4.563 4.563
angles: 60.00 60.00 60.00
Atoms (fractional coordinates):
Nb1 0.000 0.000 0.000
In1 0.250 0.250 0.250
Cu1 0.500 0.500 0.500
Pt1 0.750 0.750 0.750



# 13
An optimized crystal structure of NbInCuRe. Source: OQMD, functional PBE.

The symmetry is F-43m. The calculation puts the total DFT energy (no corrections) at -6.990 eV/atom. The calculation puts the volume at 16.54 A^3/atom.

abc: 4.540 4.540 4.540
angles: 60.00 60.00 60.00
Atoms (fractional coordinates):
Nb1 0.000 0.000 0.000
In1 0.500 0.500 0.500
Cu1 0.750 0.750 0.750
Re1 0.250 0.250 0.250



# 14
An optimized crystal structure of NbInCuS3. Source: OQMD, functional PBE.

The symmetry is Cmcm. The calculation puts the total DFT energy (no corrections) at -5.409 eV/atom. The calculation puts the volume at 19.40 A^3/atom.

abc: 7.217 7.217 9.496
angles: 90.00 90.00 151.92
Atoms (fractional coordinates):
Nb1 0.000 0.000 0.000
Nb2 0.000 0.000 0.500
In1 0.256 0.744 0.750
In2 0.744 0.256 0.250
Cu1 0.459 0.541 0.250
Cu2 0.541 0.459 0.750
S1 0.068 0.932 0.250
S2 0.373 0.627 0.048
S3 0.373 0.627 0.452
S4 0.627 0.373 0.548
S5 0.627 0.373 0.952
S6 0.932 0.068 0.750



# 15
An optimized crystal structure of NbInCuTe2S. Source: OQMD, functional PBE.

The symmetry is Cmcm. The calculation puts the total DFT energy (no corrections) at -4.830 eV/atom. The calculation puts the volume at 23.24 A^3/atom.

abc: 7.787 7.787 9.768
angles: 90.00 90.00 151.91
Atoms (fractional coordinates):
Nb1 0.000 0.000 0.000
Nb2 0.000 0.000 0.500
In1 0.276 0.724 0.750
In2 0.724 0.276 0.250
Cu1 0.476 0.524 0.250
Cu2 0.524 0.476 0.750
Te1 0.362 0.638 0.052
Te2 0.362 0.638 0.448
Te3 0.638 0.362 0.552
Te4 0.638 0.362 0.948
S1 0.061 0.939 0.250
S2 0.939 0.061 0.750



# 16
An optimized crystal structure of ScNbInCu. Source: OQMD, functional PBE.

The symmetry is F-43m. The calculation puts the total DFT energy (no corrections) at -5.503 eV/atom. The calculation puts the volume at 19.12 A^3/atom.

abc: 4.765 4.765 4.765
angles: 60.00 60.00 60.00
Atoms (fractional coordinates):
Sc1 0.000 0.000 0.000
Nb1 0.250 0.250 0.250
In1 0.500 0.500 0.500
Cu1 0.750 0.750 0.750



# 17
An optimized crystal structure of NbInCuSe3. Source: OQMD, functional PBE.

The symmetry is Cmcm. The calculation puts the total DFT energy (no corrections) at -4.973 eV/atom. The calculation puts the volume at 21.75 A^3/atom.

abc: 7.456 7.456 9.862
angles: 90.00 90.00 151.57
Atoms (fractional coordinates):
Nb1 0.000 0.000 0.000
Nb2 0.000 0.000 0.500
In1 0.247 0.753 0.750
In2 0.753 0.247 0.250
Cu1 0.463 0.537 0.250
Cu2 0.537 0.463 0.750
Se1 0.073 0.927 0.250
Se2 0.369 0.631 0.048
Se3 0.369 0.631 0.452
Se4 0.631 0.369 0.548
Se5 0.631 0.369 0.952
Se6 0.927 0.073 0.750



# 18
An optimized crystal structure of TaNbInCu. Source: OQMD, functional PBE.

The symmetry is F-43m. The calculation puts the total DFT energy (no corrections) at -6.685 eV/atom. The calculation puts the volume at 17.91 A^3/atom.

abc: 4.661 4.661 4.661
angles: 60.00 60.00 60.00
Atoms (fractional coordinates):
Ta1 0.000 0.000 0.000
Nb1 0.250 0.250 0.250
In1 0.500 0.500 0.500
Cu1 0.750 0.750 0.750



# 19
An optimized crystal structure of NbInCuTe3. Source: OQMD, functional PBE.

The symmetry is Cmcm. The calculation puts the total DFT energy (no corrections) at -4.537 eV/atom. The calculation puts the volume at 25.87 A^3/atom.

abc: 7.834 7.834 10.494
angles: 90.00 90.00 151.19
Atoms (fractional coordinates):
Nb1 0.000 0.000 0.000
Nb2 0.000 0.000 0.500
In1 0.244 0.756 0.750
In2 0.756 0.244 0.250
Cu1 0.465 0.535 0.250
Cu2 0.535 0.465 0.750
Te1 0.078 0.922 0.250
Te2 0.365 0.635 0.049
Te3 0.365 0.635 0.451
Te4 0.635 0.365 0.549
Te5 0.635 0.365 0.951
Te6 0.922 0.078 0.750



# 20
An optimized crystal structure of NbInCuW. Source: OQMD, functional PBE.

The symmetry is F-43m. The calculation puts the total DFT energy (no corrections) at -6.930 eV/atom. The calculation puts the volume at 17.23 A^3/atom.

abc: 4.602 4.602 4.602
angles: 60.00 60.00 60.00
Atoms (fractional coordinates):
Nb1 0.000 0.000 0.000
In1 0.500 0.500 0.500
Cu1 0.750 0.750 0.750
W1 0.250 0.250 0.250